1.
Material: LaMnTlS3
Method: DFT, PBE-GGA
State: relaxed

The structure in extended XYZ format:
```
12
Lattice="-1.545 3.387 2.036 2.761 -3.430 7.801 7.541 5.033 -2.648" Properties=species:S:1:pos:R:3 pbc="T T T"
La 6.141 5.606 1.968
La 2.616 -0.615 5.220
Mn 4.421 3.629 -0.470
Mn 4.336 1.362 7.658
S 1.191 1.792 4.555
S 5.410 0.405 5.644
S 6.452 4.747 -0.789
S 3.347 4.586 1.545
S 2.305 0.243 7.977
S 7.566 3.198 2.634
Tl 1.650 1.227 1.422
Tl 7.107 3.763 5.767
```

Computed properties:
The value obtained for the total energy is -71.61 eV per cell.

=====

2.
Material: KZn12Au6
Method: DFT, PBE-GGA
State: relaxed

The structure in extended XYZ format:
```
19
Lattice="-3.156 -3.259 -5.816 5.132 -4.822 2.194 -5.154 -0.344 5.265" Properties=species:S:1:pos:R:3 pbc="T T T"
Zn -3.376 -5.160 2.486
Zn -2.365 -3.079 5.129
Zn -0.370 -2.435 2.311
Zn 0.199 -3.264 -0.843
Zn -5.587 -2.471 2.016
Zn 1.633 -4.820 3.935
Zn 2.410 -5.953 -0.372
Zn -0.449 -6.435 1.612
Zn -2.729 -1.990 0.031
Zn -2.808 -5.990 -0.668
Zn -4.810 -3.605 -2.292
Zn -0.812 -5.346 -3.486
Au -4.430 -4.094 0.278
Au -2.189 -3.682 -1.960
Au -3.018 -2.471 2.641
Au 1.252 -4.331 1.365
Au -0.159 -5.953 -0.997
Au -0.989 -4.743 3.604
K 0.000 0.000 0.000
```

Computed properties:
The value obtained for the total energy is -39.29 eV per cell.

=====

3.
Material: Cs2RbZnF5
Method: DFT, PBE-GGA
State: relaxed

The structure in extended XYZ format:
```
18
Lattice="8.019 0.000 0.000 0.000 8.019 0.000 -4.009 -4.009 6.396" Properties=species:S:1:pos:R:3 pbc="T T T"
Cs 2.586 6.595 0.000
Cs 5.433 1.424 0.000
Cs 6.595 5.433 0.000
Cs 1.424 2.586 0.000
F 2.911 -1.099 4.340
F 1.099 2.911 4.340
F 0.000 0.000 0.000
F -1.099 5.108 4.340
F 1.099 5.108 2.056
F 4.009 4.009 0.000
F 5.108 1.099 4.340
F -1.099 2.911 2.056
F 2.911 1.099 2.056
F 5.108 -1.099 2.056
Rb 0.000 0.000 3.198
Rb 4.009 4.009 3.198
Zn 0.000 4.009 3.198
Zn 4.009 0.000 3.198
```

Computed properties:
The value obtained for the total energy is -73.16 eV per cell.

=====

4.
Material: SnB3O
Method: DFT, PBE-GGA
State: relaxed

The structure in extended XYZ format:
```
5
Lattice="-2.608 2.342 1.484 -2.423 -2.916 0.343 1.348 -0.710 3.488" Properties=species:S:1:pos:R:3 pbc="T T T"
B 0.674 -0.355 1.744
B -1.304 1.171 0.742
B -1.211 -1.458 0.172
O 0.000 0.000 0.000
Sn -1.841 -0.642 2.658
```

Computed properties:
The value obtained for the total energy is -20.95 eV per cell. As for the energy above the lowest structure with this stoichiometry: 0.0 meV/atom.